LaZnBr | Alexandria | GGA-PBE | relaxed; space-group type = No. 156; electronic total energy = -9.91 eV/cell; raw formation energy = -0.679 eV/atom
1.0
3.963 0.000 0.000
-1.982 3.432 0.000
0.000 0.000 7.586
La Zn Br
1 1 1
Cartesian
0.000 0.000 0.000
1.982 1.144 2.104
0.000 2.288 5.529